1.
Be2FeHPd: relaxed, PBE.

Lattice parameters (Å, degrees): 3.765 3.765 3.117 90.00 90.00 90.00
Space group P4/mmm (No. 123)
Inequivalent atoms, fractional coordinates:
Be: 0.000 0.500 0.000 [2 per cell]
Fe: 0.000 0.000 0.500 [1 per cell]
H: 0.000 0.000 0.000 [1 per cell]
Pd: 0.500 0.500 0.500 [1 per cell]

Properties
Final energy ... -5.036 eV per atom


2.
Sm4Dy3Ho3: relaxed, PBE.

Lattice parameters (Å, degrees): 3.776 13.139 13.130 90.00 90.00 90.00
Space group Amm2 (No. 38)
Inequivalent atoms, fractional coordinates:
Sm: 0.000 0.000 0.000 [2 per cell]
Sm: 0.000 0.000 0.259 [2 per cell]
Sm: 0.000 0.130 0.630 [4 per cell]
Dy: 0.000 0.250 0.380 [4 per cell]
Dy: 0.500 0.000 0.799 [2 per cell]
Ho: 0.500 0.000 0.461 [2 per cell]
Ho: 0.500 0.169 0.130 [4 per cell]

Properties
ΔE_f ... 0.097 eV per atom


3.
Tb3Al2Sn2: relaxed, PBE.

Lattice parameters (Å, degrees): 4.275 4.387 19.180 90.00 90.00 90.00
Space group Immm (No. 71)
Inequivalent atoms, fractional coordinates:
Tb: 0.000 0.000 0.000 [2 per cell]
Tb: 0.000 0.500 0.316 [4 per cell]
Al: 0.000 0.000 0.435 [4 per cell]
Sn: 0.000 0.500 0.150 [4 per cell]

Properties
ΔE_f ... -0.591 eV per atom


4.
TlAgCl5: relaxed, PBE.

Lattice parameters (Å, degrees): 9.636 11.541 9.496 90.00 119.37 90.00
Space group C2/c (No. 15)
Inequivalent atoms, fractional coordinates:
Tl: 0.000 0.115 0.250 [4 per cell]
Ag: 0.250 0.250 0.000 [4 per cell]
Cl: 0.000 0.295 0.750 [4 per cell]
Cl: 0.114 0.282 0.158 [8 per cell]
Cl: 0.206 0.017 0.485 [8 per cell]

Properties
ΔE_f (raw) ... -0.485 eV/atom


5.
LiTb3Ru: relaxed, PBE.

Lattice parameters (Å, degrees): 5.396 5.396 5.396 90.00 90.00 90.00
Space group Pm-3m (No. 221)
Inequivalent atoms, fractional coordinates:
Li: 0.000 0.000 0.000 [1 per cell]
Tb: 0.000 0.500 0.500 [3 per cell]
Ru: 0.500 0.500 0.500 [1 per cell]

Properties
ΔE_f ... -0.035 eV per atom


6.
Ba4Pa3TaN8: relaxed, PBE.

Lattice parameters (Å, degrees): 7.0990 7.0990 19.2891 90.00 90.00 120.00
Space group R-3m (No. 166, hexagonal axes)
Inequivalent atoms, fractional coordinates:
Ba: 0.0000 0.0000 0.0000 [3 per cell]
Ba: 0.0000 0.5000 0.0000 [9 per cell]
Pa: 0.0000 0.5000 0.5000 [9 per cell]
Ta: 0.0000 0.0000 0.5000 [3 per cell]
N: 0.0000 0.0000 0.2225 [6 per cell]
N: 0.0161 0.5080 0.2226 [18 per cell]

Properties
ΔE_f (raw) ... -1.166 eV/atom


7.
NpTl2Zn2Se4: relaxed, PBE.

Lattice parameters (Å, degrees): 15.286 4.098 8.069 90.00 105.72 90.00
Space group C2/m (No. 12)
Inequivalent atoms, fractional coordinates:
Np: 0.000 0.000 0.000 [2 per cell]
Tl: 0.130 0.000 0.539 [4 per cell]
Zn: 0.169 0.500 0.978 [4 per cell]
Se: 0.020 0.500 0.755 [4 per cell]
Se: 0.203 0.000 0.171 [4 per cell]

Properties
ΔE_f (raw) ... -0.598 eV/atom


8.
PmPr2Er3: relaxed, PBE.

Lattice parameters (Å, degrees): 23.479 3.509 10.337 90.00 108.66 90.00
Space group C2/m (No. 12)
Inequivalent atoms, fractional coordinates:
Pm: 0.188 0.000 0.036 [4 per cell]
Pr: 0.067 0.500 0.136 [4 per cell]
Pr: 0.190 0.000 0.373 [4 per cell]
Er: 0.058 0.000 0.446 [4 per cell]
Er: 0.070 0.500 0.759 [4 per cell]
Er: 0.194 0.000 0.714 [4 per cell]

Properties
ΔE_f ... 0.123 eV per atom
Distance to the lowest polymorph of the same formula ... 24 meV per atom


9.
Nb2CuNi9: relaxed, PBE.

Lattice parameters (Å, degrees): 3.650 3.650 10.832 90.00 90.00 90.00
Space group P4/mmm (No. 123)
Inequivalent atoms, fractional coordinates:
Nb: 0.000 0.000 0.177 [2 per cell]
Cu: 0.000 0.000 0.500 [1 per cell]
Ni: 0.000 0.500 0.000 [2 per cell]
Ni: 0.000 0.500 0.338 [4 per cell]
Ni: 0.500 0.500 0.167 [2 per cell]
Ni: 0.500 0.500 0.500 [1 per cell]

Properties
ΔE_f ... -0.194 eV per atom